# PBE SrAg2Ge2, optimized geometry
data_SrAg2Ge2
_chemical_formula_sum 'Sr1 Ag2 Ge2'
_space_group_name_H-M_alt 'P 1'
_space_group_IT_number 1
_cell_length_a 4.552
_cell_length_b 4.552
_cell_length_c 6.438
_cell_angle_alpha 69.30
_cell_angle_beta 69.30
_cell_angle_gamma 90.00
loop_
_space_group_symop_operation_xyz
'x,y,z'
loop_
_atom_site_label
_atom_site_type_symbol
_atom_site_fract_x
_atom_site_fract_y
_atom_site_fract_z
Ge1 Ge 0.750 0.250 0.500
Ge2 Ge 0.250 0.750 0.500
Ag1 Ag 0.376 0.376 0.248
Ag2 Ag 0.624 0.624 0.752
Sr1 Sr 0.000 0.000 0.000
# energy relative to the elements = -0.194 eV/atom